Cs2PPt: relaxed, PBE.

The space group is Fm-3m (No. 225) and the conventional cell measures 8.3044, 8.3044 and 8.3044 Å, with angles of 90.00, 90.00 and 90.00 degrees. The distinct sites, in fractional coordinates, are Cs at (0.2500, 0.2500, 0.2500), P at (0.0000, 0.0000, 0.0000) and Pt at (0.0000, 0.0000, 0.5000).

The calculation puts the total energy at -42.5 eV per cell. Its volume is 35.8 Å³ per atom. The calculated density comes out at 5705 kg/m³. As for the formation energy: 0.630 eV per atom. Its magnetization is 11.816 μB per cell.

CaAcAs: relaxed, PBE.

The space group is Immm (No. 71) and the conventional cell measures 3.7640, 6.6048 and 17.4001 Å, with angles of 90.00, 90.00 and 90.00 degrees. The distinct sites, in fractional coordinates, are Ca at (0.0000, 0.0000, 0.1837), Ac at (0.0000, 0.2493, 0.5000) and As at (0.0000, 0.0000, 0.3481).

The relative energy among the computed polymorphs comes out at 567 meV/atom. The calculation puts the total energy at -46.0 eV per cell. Its volume is 36.0 Å³ per atom. The calculated density comes out at 5251 kg/m³. As for the formation energy: -0.248 eV per atom. Its magnetization is 0.000 μB per cell.

AsPRh: relaxed, PBE.

The space group is Amm2 (No. 38) and the conventional cell measures 3.4916, 3.3354 and 9.6660 Å, with angles of 90.00, 90.00 and 90.00 degrees. The distinct sites, in fractional coordinates, are As at (0.0000, 0.0000, 0.0000), P at (0.0000, 0.0000, 0.3354) and Rh at (0.5000, 0.0000, 0.1804).

The relative energy among the computed polymorphs comes out at 444 meV/atom. The calculation puts the total energy at -35.6 eV per cell. Its volume is 18.8 Å³ per atom. The calculated density comes out at 6160 kg/m³. As for the formation energy: -0.122 eV per atom. Its magnetization is 0.000 μB per cell.

ErThTe2S: relaxed, PBE.

The space group is P4/nmm (No. 129, origin choice 2) and the conventional cell measures 4.3599, 4.3599 and 14.8683 Å, with angles of 90.00, 90.00 and 90.00 degrees. The distinct sites, in fractional coordinates, are Er at (0.2500, 0.2500, 0.0846), Th at (0.2500, 0.2500, 0.6190), Te at (0.2500, 0.2500, 0.2944), Te at (0.2500, 0.2500, 0.8784) and S at (0.2500, 0.7500, 0.5000).

The calculation puts the total energy at -59.5 eV per cell. Its volume is 28.3 Å³ per atom. The calculated density comes out at 8068 kg/m³. The uncorrected formation energy is -1.473 eV/atom. Its magnetization is 0.000 μB per cell.

DyTm2Ge: relaxed, PBE.

The space group is R-3m (No. 166, hexagonal axes) and the conventional cell measures 3.5774, 3.5774 and 29.9356 Å, with angles of 90.00, 90.00 and 120.00 degrees. The distinct sites, in fractional coordinates, are Dy at (0.0000, 0.0000, 0.0000), Tm at (0.0000, 0.0000, 0.2352) and Ge at (0.0000, 0.0000, 0.5000).

The calculation puts the total energy at -57.1 eV per cell. Its volume is 27.6 Å³ per atom. The calculated density comes out at 8603 kg/m³. As for the formation energy: -0.219 eV per atom. Its magnetization is 0.000 μB per cell.

Rh5Cl3: relaxed, PBE.

The space group is P6_3/mcm (No. 193) and the conventional cell measures 7.3607, 7.3607 and 5.4561 Å, with angles of 90.00, 90.00 and 120.00 degrees. The distinct sites, in fractional coordinates, are Rh at (0.0000, 0.2056, 0.2500), Rh at (0.3333, 0.6667, 0.0000) and Cl at (0.0000, 0.3904, 0.7500).

The relative energy among the computed polymorphs comes out at 615 meV/atom. The calculation puts the total energy at -72.6 eV per cell. Its volume is 16.0 Å³ per atom. The calculated density comes out at 8055 kg/m³. The uncorrected formation energy is 0.749 eV/atom. Its magnetization is 7.065 μB per cell.

YHoMg3: relaxed, PBE.

The space group is Cmcm (No. 63) and the conventional cell measures 6.2888, 15.3513 and 5.7854 Å, with angles of 90.00, 90.00 and 90.00 degrees. The distinct sites, in fractional coordinates, are Y at (0.0000, 0.1927, 0.2500), Ho at (0.0000, 0.4092, 0.7500), Mg at (0.0000, 0.0000, 0.0000) and Mg at (0.2491, 0.1345, 0.7500).

The relative energy among the computed polymorphs comes out at 143 meV/atom. The calculation puts the total energy at -61.2 eV per cell. Its volume is 27.9 Å³ per atom. The calculated density comes out at 3886 kg/m³. As for the formation energy: 0.103 eV per atom. Its magnetization is 0.000 μB per cell.

NaCd2SnC: relaxed, PBE.

The space group is P4/mmm (No. 123) and the conventional cell measures 5.9098, 5.9098 and 4.2018 Å, with angles of 90.00, 90.00 and 90.00 degrees. The distinct sites, in fractional coordinates, are Na at (0.0000, 0.0000, 0.0000), Cd at (0.0000, 0.5000, 0.5000), Sn at (0.5000, 0.5000, 0.5000) and C at (0.5000, 0.5000, 0.0000).

The calculation puts the total energy at -11.3 eV per cell. Its volume is 29.3 Å³ per atom. The calculated density comes out at 4283 kg/m³. As for the formation energy: 1.017 eV per atom. Its magnetization is 0.000 μB per cell.